# 1
Compound: ZnP2Rh
Source: Alexandria via LeMat-Bulk
Functional: GGA-PBE
Structure: relaxed

Unit cell a=4.328 b=4.328 c=4.328 alpha=60.00 beta=60.00 gamma=60.00
Positions (direct):
P: 0.000 0.000 0.000
P: 0.750 0.750 0.750
Rh: 0.500 0.500 0.500
Zn: 0.250 0.250 0.250

Properties
The density comes out at 6.7 g cm⁻³. The density of states at the Fermi level comes out at 2.8 states/eV/cell. As for the formation energy: 1.16 eV per formula unit. The total energy comes out at -4.5718 eV per atom. For the total moment, the calculation gives 0.0 μB per cell.

=====

# 2
Compound: Ca2Mg3Pd
Source: Alexandria via LeMat-Bulk
Functional: GGA-PBE
Structure: relaxed

Unit cell a=5.995 b=5.995 c=5.885 alpha=90.28 beta=120.55 gamma=119.75
Positions (direct):
Ca: 0.746 0.373 0.119
Ca: 0.254 0.627 0.881
Mg: 0.500 0.500 0.500
Mg: 0.000 0.000 0.500
Mg: 0.500 0.000 0.500
Pd: 0.000 0.000 0.000

Properties
The density comes out at 2.9 g cm⁻³. The density of states at the Fermi level comes out at 3.0 states/eV/cell. As for the formation energy: -1.85 eV per formula unit. The total energy comes out at -2.6385 eV per atom. For the total moment, the calculation gives 0.0 μB per cell.

=====

# 3
Compound: Nd3Al4Rh4
Source: Alexandria via LeMat-Bulk
Functional: GGA-PBE
Structure: relaxed

Unit cell a=6.660 b=6.660 c=6.660 alpha=109.47 beta=109.47 gamma=109.47
Positions (direct):
Nd: 0.500 0.500 0.000
Nd: 0.500 0.000 0.500
Nd: 0.000 0.500 0.500
Al: 0.000 0.260 0.000
Al: 0.000 0.000 0.260
Al: 0.260 0.000 0.000
Al: 0.740 0.740 0.740
Rh: 0.000 0.623 0.000
Rh: 0.623 0.000 0.000
Rh: 0.000 0.000 0.623
Rh: 0.377 0.377 0.377

Properties
The density comes out at 7.0 g cm⁻³. The density of states at the Fermi level comes out at 5.1 states/eV/cell. As for the formation energy: -7.88 eV per formula unit. The total energy comes out at -6.0511 eV per atom. For the total moment, the calculation gives 0.0 μB per cell.